A plane-wave DFT calculation with PBE-GGA was carried out for an optimized crystal structure of Mo2Os.

## Properties
SG: Immm (71)
E, eV per atom: -10.793
Polymorph energy (0 for the lowest one), meV per atom: 196
Formation energy, eV/atom: 0.171

a b c (Å): 4.854 4.854 4.854
angles (deg): 146.60 132.14 59.61
Element x y z (fractional)
Os 0.333 0.333 0.000
Mo 0.671 0.671 0.000
Mo 0.996 0.996 0.000

A plane-wave DFT calculation with PBE-GGA was carried out for an optimized crystal structure of Mo4Os.

## Properties
SG: Im-3m (229)
E, eV per atom: -9.597
Polymorph energy (0 for the lowest one), meV per atom: 1219
Formation energy, eV/atom: 1.314

a b c (Å): 5.019 5.019 5.019
angles (deg): 109.47 109.47 109.47
Element x y z (fractional)
Os 0.000 0.000 0.000
Mo 0.500 0.000 0.000
Mo 0.000 0.000 0.500
Mo 0.000 0.500 0.000
Mo 0.500 0.500 0.500

A plane-wave DFT calculation with PBE-GGA was carried out for an optimized crystal structure of Mo5Os.

## Properties
SG: Amm2 (38)
E, eV per atom: -10.610
Polymorph energy (0 for the lowest one), meV per atom: 203
Formation energy, eV/atom: 0.288

a b c (Å): 7.709 7.709 4.645
angles (deg): 90.00 90.00 159.93
Element x y z (fractional)
Mo 0.662 0.338 0.000
Os 0.891 0.109 0.500
Mo 0.994 0.006 0.000
Mo 0.231 0.769 0.500
Mo 0.554 0.446 0.500
Mo 0.334 0.666 0.000

A plane-wave DFT calculation with PBE-GGA was carried out for an optimized crystal structure of Mo2Os.

## Properties
SG: I4_1/amd (141)
E, eV per atom: -10.663
Polymorph energy (0 for the lowest one), meV per atom: 325
Formation energy, eV/atom: 0.301

a b c (Å): 12.500 12.500 12.500
angles (deg): 167.22 167.22 18.11
Element x y z (fractional)
Mo 0.327 0.827 0.500
Mo 0.577 0.577 0.000
Os 0.000 0.000 0.000
Mo 0.423 0.423 0.000
Mo 0.173 0.673 0.500
Os 0.750 0.250 0.500

A plane-wave DFT calculation with PBE-GGA was carried out for an optimized crystal structure of Mo5Os.

## Properties
SG: C2/m (12)
E, eV per atom: -10.813
Polymorph energy (0 for the lowest one), meV per atom: 0
Formation energy, eV/atom: 0.085

a b c (Å): 5.197 5.197 6.328
angles (deg): 72.33 72.33 35.53
Element x y z (fractional)
Mo 0.978 0.978 0.057
Mo 0.306 0.306 0.389
Mo 0.641 0.641 0.225
Mo 0.970 0.970 0.553
Os 0.306 0.306 0.889
Mo 0.633 0.633 0.721

A plane-wave DFT calculation with PBE-GGA was carried out for an optimized crystal structure of Mo2Os.

## Properties
SG: P4/mmm (123)
E, eV per atom: -10.087
Polymorph energy (0 for the lowest one), meV per atom: 902
Formation energy, eV/atom: 0.877

a b c (Å): 4.438 4.438 2.808
angles (deg): 90.00 90.00 90.00
Element x y z (fractional)
Os 0.000 0.000 0.000
Mo 0.000 0.500 0.500
Mo 0.500 0.000 0.500

A plane-wave DFT calculation with PBE-GGA was carried out for an optimized crystal structure of Mo4Os3.

## Properties
SG: I4/mmm (139)
E, eV per atom: -10.696
Polymorph energy (0 for the lowest one), meV per atom: 195
Formation energy, eV/atom: 0.306

a b c (Å): 10.751 10.751 10.751
angles (deg): 162.84 162.84 24.36
Element x y z (fractional)
Mo 0.852 0.852 0.000
Os 0.000 0.000 0.000
Os 0.290 0.290 0.000
Mo 0.427 0.427 0.000
Os 0.710 0.710 0.000
Mo 0.148 0.148 0.000
Mo 0.573 0.573 0.000

A plane-wave DFT calculation with PBE-GGA was carried out for an optimized crystal structure of Mo2Os.

## Properties
SG: P6_3/mmc (194)
E, eV per atom: -10.634
Polymorph energy (0 for the lowest one), meV per atom: 355
Formation energy, eV/atom: 0.330

a b c (Å): 4.415 4.415 5.502
angles (deg): 90.00 90.00 120.00
Element x y z (fractional)
Mo 0.667 0.333 0.010
Os 0.000 0.000 0.250
Mo 0.667 0.333 0.490
Os 0.000 0.000 0.750
Mo 0.333 0.667 0.510
Mo 0.333 0.667 0.990

A plane-wave DFT calculation with PBE-GGA was carried out for an optimized crystal structure of Mo5Os3.

## Properties
SG: P6_3/mcm (193)
E, eV per atom: -10.742
Polymorph energy (0 for the lowest one), meV per atom: 108
Formation energy, eV/atom: 0.238

a b c (Å): 7.653 7.653 5.013
angles (deg): 90.00 90.00 60.00
Element x y z (fractional)
Os 0.000 0.579 0.750
Mo 0.333 0.333 0.500
Mo 0.333 0.333 0.000
Os 0.421 0.000 0.750
Mo 0.223 0.777 0.750
Mo 0.000 0.223 0.750
Mo 0.777 0.223 0.250
Mo 0.223 0.000 0.250
Os 0.579 0.000 0.250
Os 0.000 0.421 0.250
Mo 0.777 0.000 0.750
Mo 0.667 0.667 0.000
Mo 0.667 0.667 0.500
Mo 0.000 0.777 0.250
Os 0.421 0.579 0.250
Os 0.579 0.421 0.750

A plane-wave DFT calculation with PBE-GGA was carried out for an optimized crystal structure of Mo4Os.

## Properties
SG: Pm-3m (221)
E, eV per atom: -9.078
Polymorph energy (0 for the lowest one), meV per atom: 1739
Formation energy, eV/atom: 1.833

a b c (Å): 4.687 4.687 4.687
angles (deg): 90.00 90.00 90.00
Site moments in Bohr magnetons follow the coordinates.
Element x y z (fractional)
Mo 0.000 0.500 0.500  -0.28
Os 0.500 0.500 0.500  0.07
Mo 0.500 0.500 0.000  -0.28
Mo 0.000 0.000 0.000  1.53
Mo 0.500 0.000 0.500  -0.28

A plane-wave DFT calculation with PBE-GGA was carried out for an optimized crystal structure of Mo2Os.

## Properties
SG: P-62m (189)
E, eV per atom: -10.574
Polymorph energy (0 for the lowest one), meV per atom: 414
Formation energy, eV/atom: 0.390

a b c (Å): 6.513 6.513 4.041
angles (deg): 90.00 90.00 120.00
Element x y z (fractional)
Os 0.667 0.333 0.000
Mo 0.254 0.000 0.000
Mo 0.000 0.254 0.000
Mo 0.000 0.589 0.500
Mo 0.746 0.746 0.000
Mo 0.411 0.411 0.500
Os 0.000 0.000 0.500
Mo 0.589 0.000 0.500
Os 0.333 0.667 0.000

A plane-wave DFT calculation with PBE-GGA was carried out for an optimized crystal structure of Mo2Os.

## Properties
SG: Cmcm (63)
E, eV per atom: -10.815
Polymorph energy (0 for the lowest one), meV per atom: 173
Formation energy, eV/atom: 0.149

a b c (Å): 7.408 7.408 4.395
angles (deg): 90.00 90.00 157.25
Element x y z (fractional)
Mo 0.561 0.439 0.250
Mo 0.243 0.757 0.250
Os 0.895 0.105 0.250
Mo 0.439 0.561 0.750
Mo 0.757 0.243 0.750
Os 0.105 0.895 0.750

The highest polymorph energy (0 for the lowest one) belongs to which entry?
number 10